[1]
Computed, not measured: an optimized crystal structure of NbHgTeO at the PBE level of DFT.

Crystal system = tetragonal
ΔE to the lowest computed polymorph = 0.048 eV/atom

```
data_NbHgTeO
_chemical_formula_sum 'Nb2 Hg2 Te2 O2'
_cell_length_a 3.7907
_cell_length_b 3.7907
_cell_length_c 11.0051
_cell_angle_alpha 90.00
_cell_angle_beta 90.00
_cell_angle_gamma 90.00
_symmetry_space_group_name_H-M 'P 4/n m m'
_symmetry_Int_Tables_number 129
loop_
_symmetry_equiv_pos_as_xyz
'x,y,z'
'-x,-y,-z'
'-y+1/2,x,z'
'y+1/2,-x,-z'
'-x+1/2,-y+1/2,z'
'x+1/2,y+1/2,-z'
'y,-x+1/2,z'
'-y,x+1/2,-z'
'x+1/2,-y,-z'
'-x+1/2,y,z'
'-y,-x,-z'
'y,x,z'
'-x,y+1/2,-z'
'x,-y+1/2,z'
'y+1/2,x+1/2,-z'
'-y+1/2,-x+1/2,z'
loop_
_atom_site_label
_atom_site_type_symbol
_atom_site_fract_x
_atom_site_fract_y
_atom_site_fract_z
_atom_site_occupancy
Nb1 Nb 0.2500 0.2500 0.0982 1
Hg1 Hg 0.2500 0.7500 0.5000 1
Te1 Te 0.2500 0.2500 0.7650 1
O1 O 0.2500 0.7500 0.0000 1
```

=====

[2]
Computed, not measured: an optimized crystal structure of NbHgTeO at the PBE level of DFT.

Crystal system = orthorhombic
ΔE to the lowest computed polymorph = 0.000 eV/atom

```
data_NbHgTeO
_chemical_formula_sum 'Nb2 Hg2 Te2 O2'
_cell_length_a 3.3649
_cell_length_b 9.0911
_cell_length_c 6.2081
_cell_angle_alpha 90.00
_cell_angle_beta 90.00
_cell_angle_gamma 90.00
_symmetry_space_group_name_H-M 'P m c 21'
_symmetry_Int_Tables_number 26
loop_
_symmetry_equiv_pos_as_xyz
'x,y,z'
'-x,-y,z+1/2'
'-x,y,z'
'x,-y,z+1/2'
loop_
_atom_site_label
_atom_site_type_symbol
_atom_site_fract_x
_atom_site_fract_y
_atom_site_fract_z
_atom_site_occupancy
Nb1 Nb 0.0000 0.1273 0.0000 1
Hg1 Hg 0.5000 0.3047 0.6604 1
Te1 Te 0.5000 0.3359 0.1865 1
O1 O 0.0000 0.0100 0.7214 1
```

=====

[3]
Computed, not measured: an optimized crystal structure of NbHgOs2 at the PBE level of DFT.

Crystal system = cubic
ΔE_f = 0.71 eV per atom

```
data_NbHgOs2
_chemical_formula_sum 'Nb4 Hg4 Os8'
_cell_length_a 6.4430
_cell_length_b 6.4430
_cell_length_c 6.4430
_cell_angle_alpha 90.00
_cell_angle_beta 90.00
_cell_angle_gamma 90.00
_symmetry_space_group_name_H-M 'F -4 3 m'
_symmetry_Int_Tables_number 216
_symmetry_space_group_name_Hall 'F -4 2 3'
loop_
_atom_site_label
_atom_site_type_symbol
_atom_site_fract_x
_atom_site_fract_y
_atom_site_fract_z
_atom_site_occupancy
Nb1 Nb 0.0000 0.0000 0.0000 1
Hg1 Hg 0.2500 0.2500 0.2500 1
Os1 Os 0.0000 0.0000 0.5000 1
Os2 Os 0.2500 0.2500 0.7500 1
```

=====

[4]
Computed, not measured: an optimized crystal structure of NbHgPb at the PBE level of DFT.

Crystal system = cubic
DFT total energy = -4.02 eV per atom

```
data_NbHgPb
_chemical_formula_sum 'Nb4 Hg4 Pb4'
_cell_length_a 6.8173
_cell_length_b 6.8173
_cell_length_c 6.8173
_cell_angle_alpha 90.00
_cell_angle_beta 90.00
_cell_angle_gamma 90.00
_symmetry_space_group_name_H-M 'F -4 3 m'
_symmetry_Int_Tables_number 216
_symmetry_space_group_name_Hall 'F -4 2 3'
loop_
_atom_site_label
_atom_site_type_symbol
_atom_site_fract_x
_atom_site_fract_y
_atom_site_fract_z
_atom_site_occupancy
Nb1 Nb 0.0000 0.0000 0.0000 1
Hg1 Hg 0.2500 0.2500 0.7500 1
Pb1 Pb 0.2500 0.2500 0.2500 1
```

=====

[5]
Computed, not measured: an optimized crystal structure of NbHgPt2 at the PBE level of DFT.

Crystal system = cubic
ΔE_f = -0.09 eV per atom

```
data_NbHgPt2
_chemical_formula_sum 'Nb4 Hg4 Pt8'
_cell_length_a 6.5036
_cell_length_b 6.5036
_cell_length_c 6.5036
_cell_angle_alpha 90.00
_cell_angle_beta 90.00
_cell_angle_gamma 90.00
_symmetry_space_group_name_H-M 'F -4 3 m'
_symmetry_Int_Tables_number 216
_symmetry_space_group_name_Hall 'F -4 2 3'
loop_
_atom_site_label
_atom_site_type_symbol
_atom_site_fract_x
_atom_site_fract_y
_atom_site_fract_z
_atom_site_occupancy
Nb1 Nb 0.0000 0.0000 0.0000 1
Hg1 Hg 0.2500 0.2500 0.7500 1
Pt1 Pt 0.0000 0.0000 0.5000 1
Pt2 Pt 0.2500 0.2500 0.2500 1
```

=====

[6]
Computed, not measured: an optimized crystal structure of NbHgPt2 at the PBE level of DFT.

Crystal system = cubic
ΔE_f = -0.09 eV per atom

```
data_NbHgPt2
_chemical_formula_sum 'Nb4 Hg4 Pt8'
_cell_length_a 6.5036
_cell_length_b 6.5036
_cell_length_c 6.5036
_cell_angle_alpha 90.00
_cell_angle_beta 90.00
_cell_angle_gamma 90.00
_symmetry_space_group_name_H-M 'F -4 3 m'
_symmetry_Int_Tables_number 216
_symmetry_space_group_name_Hall 'F -4 2 3'
loop_
_atom_site_label
_atom_site_type_symbol
_atom_site_fract_x
_atom_site_fract_y
_atom_site_fract_z
_atom_site_occupancy
Nb1 Nb 0.0000 0.0000 0.0000 1
Hg1 Hg 0.2500 0.2500 0.2500 1
Pt1 Pt 0.0000 0.0000 0.5000 1
Pt2 Pt 0.2500 0.2500 0.7500 1
```

=====

[7]
Computed, not measured: an optimized crystal structure of Nb2HgPt at the PBE level of DFT.

Crystal system = cubic
ΔE_f = 0.13 eV per atom

```
data_Nb2HgPt
_chemical_formula_sum 'Nb8 Hg4 Pt4'
_cell_length_a 6.5956
_cell_length_b 6.5956
_cell_length_c 6.5956
_cell_angle_alpha 90.00
_cell_angle_beta 90.00
_cell_angle_gamma 90.00
_symmetry_space_group_name_H-M 'F -4 3 m'
_symmetry_Int_Tables_number 216
_symmetry_space_group_name_Hall 'F -4 2 3'
loop_
_atom_site_label
_atom_site_type_symbol
_atom_site_fract_x
_atom_site_fract_y
_atom_site_fract_z
_atom_site_occupancy
Nb1 Nb 0.0000 0.0000 0.0000 1
Nb2 Nb 0.2500 0.2500 0.2500 1
Hg1 Hg 0.2500 0.2500 0.7500 1
Pt1 Pt 0.0000 0.0000 0.5000 1
```

=====

[8]
Computed, not measured: an optimized crystal structure of PuNbHg at the PBE level of DFT.

Crystal system = cubic
ΔE_f = 0.69 eV per atom
ΔE to the lowest computed polymorph = 0.000 eV/atom

```
data_PuNbHg
_chemical_formula_sum 'Pu4 Nb4 Hg4'
_cell_length_a 6.6734
_cell_length_b 6.6734
_cell_length_c 6.6734
_cell_angle_alpha 90.00
_cell_angle_beta 90.00
_cell_angle_gamma 90.00
_symmetry_space_group_name_H-M 'F -4 3 m'
_symmetry_Int_Tables_number 216
_symmetry_space_group_name_Hall 'F -4 2 3'
loop_
_atom_site_label
_atom_site_type_symbol
_atom_site_fract_x
_atom_site_fract_y
_atom_site_fract_z
_atom_site_occupancy
Pu1 Pu 0.0000 0.0000 0.0000 1
Nb1 Nb 0.2500 0.2500 0.7500 1
Hg1 Hg 0.0000 0.0000 0.5000 1
```

=====

[9]
Computed, not measured: an optimized crystal structure of Rb2NbHg2 at the PBE level of DFT.

Crystal system = trigonal
DFT total energy = -2.08 eV per atom

```
data_Rb2NbHg2
_chemical_formula_sum 'Rb2 Nb1 Hg2'
_cell_length_a 4.8717
_cell_length_b 4.8717
_cell_length_c 8.2908
_cell_angle_alpha 90.00
_cell_angle_beta 90.00
_cell_angle_gamma 120.00
_symmetry_space_group_name_H-M 'P -3 m 1'
_symmetry_Int_Tables_number 164
_symmetry_space_group_name_Hall '-P 3 2"'
loop_
_atom_site_label
_atom_site_type_symbol
_atom_site_fract_x
_atom_site_fract_y
_atom_site_fract_z
_atom_site_occupancy
Rb1 Rb 0.3333 0.6667 0.1560 1
Nb1 Nb 0.0000 0.0000 0.5000 1
Hg1 Hg 0.3333 0.6667 0.5873 1
```

=====

[10]
Computed, not measured: an optimized crystal structure of RbNbHg at the PBE level of DFT.

Crystal system = cubic
ΔE to the lowest computed polymorph = 0.000 eV/atom

```
data_RbNbHg
_chemical_formula_sum 'Rb4 Nb4 Hg4'
_cell_length_a 7.5884
_cell_length_b 7.5884
_cell_length_c 7.5884
_cell_angle_alpha 90.00
_cell_angle_beta 90.00
_cell_angle_gamma 90.00
_symmetry_space_group_name_H-M 'F -4 3 m'
_symmetry_Int_Tables_number 216
_symmetry_space_group_name_Hall 'F -4 2 3'
loop_
_atom_site_label
_atom_site_type_symbol
_atom_site_fract_x
_atom_site_fract_y
_atom_site_fract_z
_atom_site_occupancy
Rb1 Rb 0.0000 0.0000 0.0000 1
Nb1 Nb 0.0000 0.0000 0.5000 1
Hg1 Hg 0.2500 0.2500 0.7500 1
```

=====

[11]
Computed, not measured: an optimized crystal structure of RbNbHg at the PBE level of DFT.

Crystal system = cubic
ΔE to the lowest computed polymorph = 0.422 eV/atom

```
data_RbNbHg
_chemical_formula_sum 'Rb4 Nb4 Hg4'
_cell_length_a 8.0054
_cell_length_b 8.0054
_cell_length_c 8.0054
_cell_angle_alpha 90.00
_cell_angle_beta 90.00
_cell_angle_gamma 90.00
_symmetry_space_group_name_H-M 'F -4 3 m'
_symmetry_Int_Tables_number 216
_symmetry_space_group_name_Hall 'F -4 2 3'
loop_
_atom_site_label
_atom_site_type_symbol
_atom_site_fract_x
_atom_site_fract_y
_atom_site_fract_z
_atom_site_occupancy
Rb1 Rb 0.0000 0.0000 0.0000 1
Nb1 Nb 0.2500 0.2500 0.2500 1
Hg1 Hg 0.2500 0.2500 0.7500 1
```

=====

[12]
Computed, not measured: an optimized crystal structure of NbReHg at the PBE level of DFT.

Crystal system = cubic
ΔE_f = 0.88 eV per atom
ΔE to the lowest computed polymorph = 0.000 eV/atom

```
data_NbReHg
_chemical_formula_sum 'Nb4 Re4 Hg4'
_cell_length_a 6.3280
_cell_length_b 6.3280
_cell_length_c 6.3280
_cell_angle_alpha 90.00
_cell_angle_beta 90.00
_cell_angle_gamma 90.00
_symmetry_space_group_name_H-M 'F -4 3 m'
_symmetry_Int_Tables_number 216
_symmetry_space_group_name_Hall 'F -4 2 3'
loop_
_atom_site_label
_atom_site_type_symbol
_atom_site_fract_x
_atom_site_fract_y
_atom_site_fract_z
_atom_site_occupancy
Nb1 Nb 0.0000 0.0000 0.0000 1
Re1 Re 0.2500 0.2500 0.7500 1
Hg1 Hg 0.0000 0.0000 0.5000 1
```

=====

Number 1: magnetic moment 0.223 μB/atom. Number 2: magnetic moment 0.002 μB/atom. Number 3: magnetic moment 0.003 μB/atom. Number 4: magnetic moment 0.487 μB/atom. Number 5: magnetic moment 0.003 μB/atom. Number 6: magnetic moment 0.003 μB/atom. Number 7: magnetic moment 0.001 μB/atom. Number 8: magnetic moment 1.699 μB/atom. Number 9: magnetic moment 0.316 μB/atom. Number 10: magnetic moment 1.341 μB/atom. Number 11: magnetic moment 1.625 μB/atom. Number 12: magnetic moment 0.002 μB/atom.